A geometry-optimized Zr2AlSi structure. Source: Alexandria via LeMat-Bulk, functional GGA-PBE.

Calculated values
* Fermi-level density of states: 3.941 states/eV/cell
* ΔE_f (raw): -2.9 eV per formula unit
* DFT total energy: -58.4 eV per cell
* excess energy over the best structure of this formula in the dataset: 4.9 meV per atom

a = 3.8242 Å, b = 3.8654 Å, c = 10.2135 Å
α = 90.00°, β = 90.00°, γ = 90.00°
Atoms (fractional coordinates):
Zr 0.2500 0.2500 0.1012
Zr 0.2500 0.7500 0.3927
Zr 0.7500 0.2500 0.6073
Zr 0.7500 0.7500 0.8988
Al 0.2500 0.7500 0.6723
Al 0.7500 0.2500 0.3277
Si 0.2500 0.2500 0.8287
Si 0.7500 0.7500 0.1713

---

A geometry-optimized LiMgSO4F structure. Source: Alexandria via LeMat-Bulk, functional GGA-PBE.

Calculated values
* ΔE_f (raw): -14.3 eV per formula unit
* DFT total energy: -87.2 eV per cell
* excess energy over the best structure of this formula in the dataset: 442.3 meV per atom

a = 5.1764 Å, b = 6.1279 Å, c = 7.1672 Å
α = 112.74°, β = 91.76°, γ = 107.12°
Atoms (fractional coordinates):
Li 0.0522 0.2270 0.2074
Li 0.9478 0.7730 0.7926
Mg 0.5000 0.0000 0.0000
Mg 0.5000 0.5000 0.0000
S 0.4147 0.8201 0.5112
S 0.5853 0.1799 0.4888
O 0.1322 0.7880 0.5415
O 0.2215 0.6507 0.9151
O 0.4031 0.1415 0.3074
O 0.4465 0.6330 0.3183
O 0.5535 0.3670 0.6817
O 0.5969 0.8585 0.6926
O 0.7785 0.3493 0.0849
O 0.8678 0.2120 0.4585
F 0.2294 0.1580 0.9576
F 0.7706 0.8420 0.0424

---

A geometry-optimized Sr2ZrTe structure. Source: Alexandria via LeMat-Bulk, functional GGA-PBE.

Calculated values
* Fermi-level density of states: 3.092 states/eV/cell
* ΔE_f (raw): -0.5 eV per formula unit
* DFT total energy: -15.5 eV per cell

a = 5.5552 Å, b = 5.5552 Å, c = 4.3806 Å
α = 90.00°, β = 90.00°, γ = 90.00°
Atoms (fractional coordinates):
Sr 0.0000 0.5000 0.0000
Sr 0.5000 0.0000 0.0000
Zr 0.0000 0.0000 0.5000
Te 0.5000 0.5000 0.5000

---

A geometry-optimized LiInAg2 structure. Source: Alexandria via LeMat-Bulk, functional GGA-PBE.

Calculated values
* Fermi-level density of states: 2.547 states/eV/cell
* ΔH_f (0 K): 0.00 eV/atom
* DFT total energy: -10.4 eV per cell

a = 9.3473 Å, b = 9.3473 Å, c = 9.3473 Å
α = 19.07°, β = 19.07°, γ = 19.07°
Atoms (fractional coordinates):
Li 0.0000 0.0000 0.0000
In 0.5000 0.5000 0.5000
Ag 0.2554 0.2554 0.2554
Ag 0.7446 0.7446 0.7446

---

A geometry-optimized Pa3Si2B2 structure. Source: Alexandria via LeMat-Bulk, functional GGA-PBE.

Calculated values
* Fermi-level density of states: 8.912 states/eV/cell
* ΔE_f (raw): -3.3 eV per formula unit
* DFT total energy: -56.0 eV per cell

a = 8.4674 Å, b = 8.4674 Å, c = 8.4674 Å
α = 156.33°, β = 150.56°, γ = 38.11°
Atoms (fractional coordinates):
Pa 0.0000 0.0000 0.0000
Pa 0.1794 0.6794 0.5000
Pa 0.8206 0.3206 0.5000
Si 0.3715 0.8715 0.5000
Si 0.6285 0.1285 0.5000
B 0.4457 0.4457 0.0000
B 0.5543 0.5543 0.0000

---

A geometry-optimized Tb8CoPd2 structure. Source: Alexandria via LeMat-Bulk, functional GGA-PBE.

Calculated values
* Fermi-level density of states: 13.477 states/eV/cell
* ΔH_f (0 K): -0.25 eV/atom
* DFT total energy: -57.2 eV per cell
* excess energy over the best structure of this formula in the dataset: 83.4 meV per atom

a = 11.4582 Å, b = 11.4582 Å, c = 7.7565 Å
α = 101.97°, β = 101.97°, γ = 19.00°
Atoms (fractional coordinates):
Tb 0.0558 0.0558 0.2130
Tb 0.2078 0.2078 0.1237
Tb 0.3170 0.3170 0.5187
Tb 0.4119 0.4119 0.1873
Tb 0.5881 0.5881 0.8127
Tb 0.6830 0.6830 0.4813
Tb 0.7922 0.7922 0.8763
Tb 0.9442 0.9442 0.7870
Co 0.5000 0.5000 0.0000
Pd 0.1894 0.1894 0.7589
Pd 0.8106 0.8106 0.2411

---

A geometry-optimized TaAgP2S structure. Source: Alexandria via LeMat-Bulk, functional GGA-PBE.

Calculated values
* Fermi-level density of states: 4.514 states/eV/cell
* ΔE_f (raw): 6.9 eV per formula unit
* DFT total energy: -22.7 eV per cell
* excess energy over the best structure of this formula in the dataset: 1089.4 meV per atom

a = 4.6577 Å, b = 4.6577 Å, c = 4.6978 Å
α = 90.00°, β = 90.00°, γ = 90.00°
Atoms (fractional coordinates):
Ta 0.0000 0.0000 0.0000
Ag 0.5000 0.5000 0.5000
P 0.0000 0.5000 0.5000
P 0.5000 0.0000 0.5000
S 0.5000 0.5000 0.0000

---

A geometry-optimized KPS2O structure. Source: Alexandria via LeMat-Bulk, functional GGA-PBE.

Calculated values
* Fermi-level density of states: 9.314 states/eV/cell
* ΔE_f (raw): 8.9 eV per formula unit
* DFT total energy: -10.9 eV per cell
* excess energy over the best structure of this formula in the dataset: 2130.4 meV per atom

a = 6.2797 Å, b = 6.2797 Å, c = 7.0732 Å
α = 90.00°, β = 90.00°, γ = 90.00°
Atoms (fractional coordinates):
K 0.0000 0.0000 0.0000
P 0.0000 0.0000 0.5000
S 0.0000 0.5000 0.0000
S 0.5000 0.0000 0.0000
O 0.5000 0.5000 0.5000

---

A geometry-optimized KH2Ir structure. Source: Alexandria via LeMat-Bulk, functional GGA-PBE.

Calculated values
* Fermi-level density of states: 3.531 states/eV/cell
* DFT total energy: -32.0 eV per cell
* excess energy over the best structure of this formula in the dataset: 0.0 meV per atom

a = 5.4008 Å, b = 5.4008 Å, c = 5.4008 Å
α = 118.19°, β = 118.19°, γ = 93.16°
Atoms (fractional coordinates):
K 0.0000 0.0000 0.0000
K 0.7500 0.2500 0.5000
H 0.2849 0.6250 0.1599
H 0.3750 0.5349 0.6599
H 0.4651 0.1250 0.8401
H 0.8750 0.7151 0.3401
Ir 0.2500 0.7500 0.5000
Ir 0.5000 0.5000 0.0000

---

A geometry-optimized K2ICl structure. Source: Alexandria via LeMat-Bulk, functional GGA-PBE.

Calculated values
* ΔE_f (raw): -5.7 eV per formula unit
* DFT total energy: -11.3 eV per cell

a = 10.1164 Å, b = 10.1164 Å, c = 10.1164 Å
α = 27.89°, β = 27.89°, γ = 27.89°
Atoms (fractional coordinates):
K 0.1079 0.1079 0.1079
K 0.8921 0.8921 0.8921
I 0.0000 0.0000 0.0000
Cl 0.5000 0.5000 0.5000

---

A geometry-optimized Dy6Cu5Hg structure. Source: Alexandria via LeMat-Bulk, functional GGA-PBE.

Calculated values
* Fermi-level density of states: 6.482 states/eV/cell
* ΔH_f (0 K): -0.28 eV/atom
* DFT total energy: -51.7 eV per cell

a = 7.8511 Å, b = 7.8511 Å, c = 7.0390 Å
α = 90.00°, β = 90.00°, γ = 143.06°
Atoms (fractional coordinates):
Dy 0.0000 0.0000 0.2385
Dy 0.0000 0.0000 0.7615
Dy 0.3289 0.6711 0.2450
Dy 0.3289 0.6711 0.7550
Dy 0.6711 0.3289 0.2450
Dy 0.6711 0.3289 0.7550
Cu 0.1648 0.8352 0.0000
Cu 0.1652 0.8348 0.5000
Cu 0.5000 0.5000 0.0000
Cu 0.8352 0.1648 0.0000
Cu 0.8348 0.1652 0.5000
Hg 0.5000 0.5000 0.5000

---

A geometry-optimized DyThGaAg structure. Source: Alexandria via LeMat-Bulk, functional GGA-PBE.

Calculated values
* Fermi-level density of states: 4.785 states/eV/cell
* ΔH_f (0 K): -0.31 eV/atom
* DFT total energy: -19.1 eV per cell

a = 5.2052 Å, b = 5.2052 Å, c = 5.2052 Å
α = 60.00°, β = 60.00°, γ = 60.00°
Atoms (fractional coordinates):
Dy 0.0000 0.0000 0.0000
Th 0.5000 0.5000 0.5000
Ga 0.7500 0.7500 0.7500
Ag 0.2500 0.2500 0.2500